The following is a PBE with a Hubbard U calculation of a geometry-optimized LiVP3O9 structure, from Alexandria via LeMat-Bulk.

```
LiVP3O9
1.0
-3.221 2.193 -5.126
5.782 -1.949 -2.057
-3.126 -5.203 2.148
Li V P O
1 1 3 9
direct
0.356 0.356 0.356 Li
0.987 0.987 0.987 V
0.047 0.913 0.487 P
0.913 0.487 0.047 P
0.487 0.047 0.913 P
0.285 0.892 0.640 O
0.892 0.640 0.285 O
0.640 0.285 0.892 O
0.079 0.373 0.124 O
0.124 0.079 0.373 O
0.373 0.124 0.079 O
0.632 0.910 0.961 O
0.910 0.961 0.632 O
0.961 0.632 0.910 O
```

Output
space group	No. 146
distance to the lowest polymorph of the same formula	39	meV/atom